The following is a DFT calculation (PBE) of a relaxed structure of Mg2Si2B.

Its total energy is -3.432 eV per atom. The raw formation energy is 0.7101 eV per atom. The excess energy over the best structure of this formula in the dataset comes out at 65 kJ/mol of formula units.

The structure belongs to space group P4/mbm (No. 127); the cell edges are 6.343, 6.343 and 4.254 Å and the angles 90.00°, 90.00° and 90.00°. The inequivalent atoms are Mg at (0.173, 0.327, 0.000), Si at (0.134, 0.634, 0.500) and B at (0.000, 0.000, 0.000).

***

The following is a DFT calculation (PBE) of a relaxed structure of MgSi2B.

Its total energy is -4.597 eV per atom. The raw formation energy is 0.1829 eV per atom. The excess energy over the best structure of this formula in the dataset comes out at 0 kJ/mol of formula units.

The structure belongs to space group I-42d (No. 122); the cell edges are 6.737, 6.737 and 4.911 Å and the angles 90.00°, 90.00° and 90.00°. The inequivalent atoms are Mg at (0.000, 0.000, 0.000), Si at (0.164, 0.250, 0.625) and B at (0.000, 0.000, 0.500).

***

The following is a DFT calculation (PBE) of a relaxed structure of MgSiB.

Its total energy is -4.588 eV per atom. The raw formation energy is -0.0227 eV per atom. The excess energy over the best structure of this formula in the dataset comes out at 0 kJ/mol of formula units.

The structure belongs to space group Cm (No. 8); the cell edges are 5.946, 3.423 and 4.655 Å and the angles 90.00°, 116.30° and 90.00°. The inequivalent atoms are Mg at (0.000, 0.000, 0.000), Si at (0.001, 0.500, 0.508) and B at (0.200, 0.000, 0.600).

***

The following is a DFT calculation (PBE) of a relaxed structure of MgSiB.

Its total energy is -4.460 eV per atom. The raw formation energy is 0.1053 eV per atom. The excess energy over the best structure of this formula in the dataset comes out at 37 kJ/mol of formula units.

The structure belongs to space group Immm (No. 71); the cell edges are 3.578, 4.674 and 11.100 Å and the angles 90.00°, 90.00° and 90.00°. The inequivalent atoms are Mg at (0.000, 0.000, 0.139), Si at (0.000, 0.000, 0.380) and B at (0.000, 0.326, 0.500).

***

The following is a DFT calculation (PBE) of a relaxed structure of MgSiB.

Its total energy is -4.529 eV per atom. The raw formation energy is 0.0358 eV per atom. The excess energy over the best structure of this formula in the dataset comes out at 17 kJ/mol of formula units.

The structure belongs to space group P1 (No. 1); the cell edges are 3.405, 3.418 and 4.199 Å and the angles 88.10°, 89.40° and 60.14°. The inequivalent atoms are Mg at (0.000, 0.000, 0.000), Si at (0.668, 0.655, 0.493) and B at (0.335, 0.322, 0.414).

***

The following is a DFT calculation (PBE) of a relaxed structure of SrMgSi2B.

Its total energy is -2.727 eV per atom. The raw formation energy is 1.4332 eV per atom.

The structure belongs to space group P4/mmm (No. 123); the cell edges are 4.819, 4.819 and 5.837 Å and the angles 90.00°, 90.00° and 90.00°. The inequivalent atoms are Sr at (0.000, 0.000, 0.000), Mg at (0.000, 0.000, 0.500), Si at (0.000, 0.500, 0.500) and B at (0.500, 0.500, 0.000).

***

The following is a DFT calculation (PBE) of a relaxed structure of Sr2MgSiB.

Its total energy is -3.099 eV per atom. The raw formation energy is 0.3124 eV per atom.

The structure belongs to space group P4/mmm (No. 123); the cell edges are 5.541, 5.541 and 4.468 Å and the angles 90.00°, 90.00° and 90.00°. The inequivalent atoms are Sr at (0.000, 0.500, 0.000), Mg at (0.000, 0.000, 0.500), Si at (0.500, 0.500, 0.500) and B at (0.000, 0.000, 0.000).

***

The following is a DFT calculation (PBE) of a relaxed structure of MgZn2SiB.

Its total energy is -2.091 eV per atom. The raw formation energy is 1.1571 eV per atom.

The structure belongs to space group P4/mmm (No. 123); the cell edges are 4.557, 4.557 and 5.102 Å and the angles 90.00°, 90.00° and 90.00°. The inequivalent atoms are Mg at (0.000, 0.000, 0.000), Zn at (0.000, 0.500, 0.500), Si at (0.000, 0.000, 0.500) and B at (0.500, 0.500, 0.000).

***

The following is a DFT calculation (PBE) of a relaxed structure of SmMgB.

Its total energy is -4.377 eV per atom. As for the formation energy: -0.047 eV/atom.

The structure belongs to space group C2/m (No. 12); the cell edges are 9.573, 3.871 and 7.151 Å and the angles 90.00°, 100.64° and 90.00°. The inequivalent atoms are Sm at (0.123, 0.000, 0.336), Mg at (0.131, 0.500, 0.912) and B at (0.076, 0.500, 0.568).

***

The following is a DFT calculation (PBE) of a relaxed structure of SmMgB12.

Its total energy is -6.400 eV per atom. As for the formation energy: -0.225 eV/atom.

The structure belongs to space group P4/mmm (No. 123); the cell edges are 4.111, 4.111 and 8.249 Å and the angles 90.00°, 90.00° and 90.00°. The inequivalent atoms are Sm at (0.000, 0.000, 0.000), Mg at (0.000, 0.000, 0.500), B at (0.200, 0.500, 0.251), B at (0.500, 0.500, 0.100) and B at (0.500, 0.500, 0.400).

***

The following is a DFT calculation (PBE) of a relaxed structure of MgSn3B.

Its total energy is -2.693 eV per atom. As for the formation energy: 1.364 eV/atom. The excess energy over the best structure of this formula in the dataset comes out at 407 kJ/mol of formula units.

The structure belongs to space group Pm-3m (No. 221); the cell edges are 5.353, 5.353 and 5.353 Å and the angles 90.00°, 90.00° and 90.00°. The inequivalent atoms are Mg at (0.000, 0.000, 0.000), Sn at (0.000, 0.000, 0.500) and B at (0.500, 0.500, 0.500).

***

The following is a DFT calculation (PBE) of a relaxed structure of Mg2SnB.

Its total energy is -2.789 eV per atom. As for the formation energy: 0.678 eV/atom. The excess energy over the best structure of this formula in the dataset comes out at 25 kJ/mol of formula units.

The structure belongs to space group I-42d (No. 122); the cell edges are 4.381, 4.381 and 17.066 Å and the angles 90.00°, 90.00° and 90.00°. The inequivalent atoms are Mg at (0.196, 0.250, 0.125), Sn at (0.000, 0.000, 0.500) and B at (0.000, 0.000, 0.000).

***

The following is a DFT calculation (PBE) of a relaxed structure of MgSn3B.

Its total energy is -3.536 eV per atom. As for the formation energy: 0.520 eV/atom. The excess energy over the best structure of this formula in the dataset comes out at 0 kJ/mol of formula units.

The structure belongs to space group Pm-3m (No. 221); the cell edges are 4.918, 4.918 and 4.918 Å and the angles 90.00°, 90.00° and 90.00°. The inequivalent atoms are Mg at (0.000, 0.000, 0.000), Sn at (0.000, 0.500, 0.500) and B at (0.500, 0.500, 0.500).

***

The following is a DFT calculation (PBE) of a relaxed structure of Mg3SnB.

Its total energy is -1.894 eV per atom. As for the formation energy: 1.198 eV/atom. The excess energy over the best structure of this formula in the dataset comes out at 504 kJ/mol of formula units.

The structure belongs to space group Pm-3m (No. 221); the cell edges are 5.297, 5.297 and 5.297 Å and the angles 90.00°, 90.00° and 90.00°. The inequivalent atoms are Mg at (0.000, 0.000, 0.500), Sn at (0.000, 0.000, 0.000) and B at (0.500, 0.500, 0.500).

***

The following is a DFT calculation (PBE) of a relaxed structure of Mg2SnB.

Its total energy is -2.855 eV per atom. As for the formation energy: 0.613 eV/atom. The excess energy over the best structure of this formula in the dataset comes out at 0 kJ/mol of formula units.

The structure belongs to space group Fm-3m (No. 225); the cell edges are 6.695, 6.695 and 6.695 Å and the angles 90.00°, 90.00° and 90.00°. The inequivalent atoms are Mg at (0.250, 0.250, 0.250), Sn at (0.000, 0.000, 0.000) and B at (0.000, 0.000, 0.500).

***

The following is a DFT calculation (PBE) of a relaxed structure of Mg3SnB.

Its total energy is -2.939 eV per atom. As for the formation energy: 0.154 eV/atom. The excess energy over the best structure of this formula in the dataset comes out at 0 kJ/mol of formula units.

The structure belongs to space group Pm-3m (No. 221); the cell edges are 4.631, 4.631 and 4.631 Å and the angles 90.00°, 90.00° and 90.00°. The inequivalent atoms are Mg at (0.000, 0.000, 0.500), Sn at (0.500, 0.500, 0.500) and B at (0.000, 0.000, 0.000).

***

The following is a DFT calculation (PBE) of a relaxed structure of MgVSnB2.

Its total energy is -3.690 eV per atom. As for the formation energy: 1.924 eV/atom.

The structure belongs to space group P4/mmm (No. 123); the cell edges are 4.432, 4.432 and 5.125 Å and the angles 90.00°, 90.00° and 90.00°. The inequivalent atoms are Mg at (0.000, 0.000, 0.000), V at (0.500, 0.500, 0.000), Sn at (0.500, 0.500, 0.500) and B at (0.000, 0.500, 0.500).

***

The following is a DFT calculation (PBE) of a relaxed structure of Mg2SnBW.

Its total energy is -3.566 eV per atom. As for the formation energy: 1.798 eV/atom.

The structure belongs to space group P4/mmm (No. 123); the cell edges are 5.267, 5.267 and 5.203 Å and the angles 90.00°, 90.00° and 90.00°. The inequivalent atoms are Mg at (0.000, 0.500, 0.000), Sn at (0.000, 0.000, 0.500), B at (0.500, 0.500, 0.500) and W at (0.000, 0.000, 0.000).

***

The following is a DFT calculation (PBE) of a relaxed structure of SrMg2B.

Its total energy is -2.345 eV per atom. As for the formation energy: 0.542 eV/atom.

The structure belongs to space group I4_1/amd (No. 141, origin choice 2); the cell edges are 6.545, 6.545 and 11.403 Å and the angles 90.00°, 90.00° and 90.00°. The inequivalent atoms are Sr at (0.000, 0.250, 0.375), Mg at (0.000, 0.000, 0.000) and B at (0.000, 0.250, 0.875).

***

The following is a DFT calculation (PBE) of a relaxed structure of SrMgB12.

Its total energy is -6.181 eV per atom. As for the formation energy: -0.223 eV/atom.

The structure belongs to space group P4/mmm (No. 123); the cell edges are 4.159, 4.159 and 8.305 Å and the angles 90.00°, 90.00° and 90.00°. The inequivalent atoms are Sr at (0.000, 0.000, 0.000), Mg at (0.000, 0.000, 0.500), B at (0.202, 0.500, 0.254), B at (0.500, 0.500, 0.103) and B at (0.500, 0.500, 0.401).

***

The following is a DFT calculation (PBE) of a relaxed structure of SrMg6B.

Its total energy is -1.975 eV per atom. As for the formation energy: 0.266 eV/atom. The excess energy over the best structure of this formula in the dataset comes out at 0 kJ/mol of formula units.

The structure belongs to space group Amm2 (No. 38); the cell edges are 4.010, 6.209 and 15.399 Å and the angles 90.00°, 90.00° and 90.00°. The inequivalent atoms are Sr at (0.000, 0.000, 0.000), Mg at (0.000, 0.000, 0.575), Mg at (0.000, 0.227, 0.810), Mg at (0.500, 0.000, 0.419), Mg at (0.500, 0.245, 0.177) and B at (0.500, 0.000, 0.820).

***

The following is a DFT calculation (PBE) of a relaxed structure of SrMg6B.

Its total energy is -1.962 eV per atom. As for the formation energy: 0.279 eV/atom. The excess energy over the best structure of this formula in the dataset comes out at 10 kJ/mol of formula units.

The structure belongs to space group Amm2 (No. 38); the cell edges are 4.648, 5.894 and 13.929 Å and the angles 90.00°, 90.00° and 90.00°. The inequivalent atoms are Sr at (0.000, 0.000, 0.000), Mg at (0.000, 0.244, 0.743), Mg at (0.500, 0.000, 0.166), Mg at (0.500, 0.000, 0.598), Mg at (0.500, 0.234, 0.380) and B at (0.000, 0.000, 0.382).

***

The following is a DFT calculation (PBE) of a relaxed structure of SrYMg2B.

Its total energy is -2.327 eV per atom. As for the formation energy: 1.275 eV/atom.

The structure belongs to space group P4/mmm (No. 123); the cell edges are 5.705, 5.705 and 4.642 Å and the angles 90.00°, 90.00° and 90.00°. The inequivalent atoms are Sr at (0.000, 0.000, 0.000), Y at (0.500, 0.500, 0.500), Mg at (0.000, 0.500, 0.000) and B at (0.000, 0.000, 0.500).

***

The following is a DFT calculation (PBE) of a relaxed structure of MgTa3B.

Its total energy is -6.110 eV per atom. As for the formation energy: 2.656 eV/atom. The excess energy over the best structure of this formula in the dataset comes out at 1241 kJ/mol of formula units.

The structure belongs to space group Pm-3m (No. 221); the cell edges are 4.630, 4.630 and 4.630 Å and the angles 90.00°, 90.00° and 90.00°. The inequivalent atoms are Mg at (0.000, 0.000, 0.000), Ta at (0.000, 0.000, 0.500) and B at (0.500, 0.500, 0.500).

***

The following is a DFT calculation (PBE) of a relaxed structure of Mg2TaB.

Its total energy is -4.794 eV per atom. As for the formation energy: 0.636 eV/atom.

The structure belongs to space group I-42d (No. 122); the cell edges are 7.426, 7.426 and 4.799 Å and the angles 90.00°, 90.00° and 90.00°. The inequivalent atoms are Mg at (0.170, 0.750, 0.125), Ta at (0.000, 0.000, 0.500) and B at (0.000, 0.000, 0.000).

***

The following is a DFT calculation (PBE) of a relaxed structure of MgTa2B2.

Its total energy is -8.011 eV per atom. As for the formation energy: -0.280 eV/atom.

The structure belongs to space group P4/mbm (No. 127); the cell edges are 6.067, 6.067 and 3.386 Å and the angles 90.00°, 90.00° and 90.00°. The inequivalent atoms are Mg at (0.000, 0.000, 0.000), Ta at (0.172, 0.328, 0.500) and B at (0.104, 0.604, 0.000).